11
Lattice="-2.502 -2.774 -4.726 -0.907 -2.311 5.676 -3.156 5.424 -1.513" Properties=species:S:1:pos:R:3 comment="Rb2Cu2NiF6 (PBE+U, relaxed)" e_tot_ev_per_atom=-4.103 pbc="T T T"
Rb -2.790 -2.043 -1.163
Rb -3.775 2.382 0.600
Cu -5.527 -0.368 -0.697
Cu -1.039 0.708 0.134
Ni -2.829 1.325 -3.119
F -4.273 0.532 -1.889
F -2.220 -1.465 3.829
F -3.176 3.100 -2.184
F -4.345 1.804 -4.392
F -3.389 -2.761 1.621
F -2.292 -0.192 1.326